one:
DFT (GGA-PBE) results for SmEr3Tl4 after structural relaxation.

abc: 5.391 7.519 10.780
angles: 90.00 90.00 90.00
Sites, in units of the cell vectors:
Tl  0.003  0.755  0.750
Tl  0.500  0.245  0.000
Sm  0.000  0.500  0.000
Tl  0.997  0.755  0.250
Er  0.000  0.000  0.500
Er  0.502  0.500  0.750
Tl  0.500  0.755  0.000
Tl  0.003  0.245  0.750
Er  0.502  0.000  0.750
Er  0.000  0.000  0.000
Tl  0.500  0.245  0.500
Er  0.498  0.500  0.250
Er  0.498  0.000  0.250
Sm  0.000  0.500  0.500
Tl  0.997  0.245  0.250
Tl  0.500  0.755  0.500

Properties
- space-group type = No. 51



two:
DFT (GGA-PBE) results for SmEr3Tl4 after structural relaxation.

abc: 3.501 7.198 10.095
angles: 110.88 99.99 90.00
Sites, in units of the cell vectors:
Tl  0.628  0.413  0.257
Er  0.000  0.500  0.000
Sm  0.500  0.000  0.000
Er  0.220  0.220  0.440
Tl  0.372  0.587  0.743
Er  0.780  0.780  0.560
Tl  0.628  0.843  0.257
Tl  0.372  0.157  0.743

Properties
- space-group type = No. 71



Each structure's energy above the most stable one, in meV/atom: one 0; two 127.



one:
DFT (GGA-PBE) results for SmEr2Tl2 after structural relaxation.

abc: 5.255 6.620 10.581
angles: 66.73 60.19 66.54
Sites, in units of the cell vectors:
Tl  0.081  0.729  0.553
Sm  0.288  0.133  0.647
Tl  0.904  0.272  0.959
Er  0.710  0.860  0.860
Er  0.290  0.140  0.140
Er  0.498  0.497  0.753
Tl  0.919  0.271  0.447
Er  0.502  0.503  0.247
Sm  0.712  0.867  0.353
Tl  0.096  0.728  0.041

Properties
- space-group type = No. 2



two:
DFT (GGA-PBE) results for SmEr2Tl2 after structural relaxation.

abc: 3.771 5.414 14.105
angles: 90.00 97.70 90.00
Sites, in units of the cell vectors:
Er  0.763  0.250  0.525
Er  0.950  0.250  0.900
Tl  0.452  0.750  0.906
Er  0.050  0.750  0.100
Sm  0.147  0.250  0.297
Sm  0.853  0.750  0.703
Tl  0.356  0.250  0.710
Er  0.237  0.750  0.475
Tl  0.644  0.750  0.290
Tl  0.548  0.250  0.094

Properties
- space-group type = No. 11



Each structure's energy above the most stable one, in meV/atom: one 0; two 5.



one:
DFT (GGA-PBE) results for Sm4Er4Tl after structural relaxation.

abc: 7.618 9.200 6.286
angles: 44.74 105.17 111.94
Sites, in units of the cell vectors:
Sm  0.321  0.809  0.506
Er  0.585  0.659  0.151
Er  0.782  0.838  0.529
Tl  0.000  0.000  0.000
Sm  0.103  0.612  0.166
Er  0.415  0.341  0.849
Er  0.218  0.162  0.471
Sm  0.897  0.388  0.834
Sm  0.679  0.191  0.494

Properties
- space-group type = No. 2



two:
DFT (GGA-PBE) results for Sm4Er4Tl after structural relaxation.

abc: 4.905 7.938 7.938
angles: 84.52 72.00 72.00
Sites, in units of the cell vectors:
Tl  0.000  0.000  0.000
Sm  0.662  0.675  0.000
Er  0.663  0.337  0.337
Sm  0.338  0.325  0.000
Er  0.000  0.663  0.337
Er  0.000  0.337  0.663
Sm  0.662  0.000  0.675
Er  0.337  0.663  0.663
Sm  0.338  0.000  0.325

Properties
- space-group type = No. 139



Each structure's energy above the most stable one, in meV/atom: one 56; two 0.



one:
DFT (GGA-PBE) results for Sm2ErTl4 after structural relaxation.

abc: 6.561 6.561 6.561
angles: 104.35 112.09 112.09
Sites, in units of the cell vectors:
Er  0.000  0.000  0.000
Tl  0.000  0.500  0.000
Sm  0.500  0.000  0.500
Tl  0.500  0.500  0.500
Tl  0.500  0.000  0.000
Sm  0.500  0.500  0.000
Tl  0.000  0.000  0.500

Properties
- space-group type = No. 139



two:
DFT (GGA-PBE) results for Sm2ErTl4 after structural relaxation.

abc: 5.752 5.752 8.852
angles: 108.96 108.96 90.00
Sites, in units of the cell vectors:
Sm  0.603  0.603  0.205
Tl  0.805  0.805  0.611
Tl  0.500  0.000  0.000
Er  0.000  0.000  0.000
Sm  0.397  0.397  0.795
Tl  0.000  0.500  0.000
Tl  0.195  0.195  0.389

Properties
- space-group type = No. 139



Each structure's energy above the most stable one, in meV/atom: one 0; two 374.



one:
DFT (GGA-PBE) results for Sm2Er3Tl after structural relaxation.

abc: 4.898 4.852 7.968
angles: 107.73 90.00 90.00
Sites, in units of the cell vectors:
Sm  0.000  0.338  0.676
Er  0.500  0.500  0.000
Er  0.500  0.833  0.666
Er  0.500  0.167  0.334
Sm  0.000  0.662  0.324
Tl  0.000  0.000  0.000

Properties
- space-group type = No. 65



two:
DFT (GGA-PBE) results for Sm2Er3Tl after structural relaxation.

abc: 3.448 6.422 9.440
angles: 109.89 100.52 90.00
Sites, in units of the cell vectors:
Sm  0.309  0.928  0.619
Er  0.365  0.490  0.730
Er  0.000  0.920  0.000
Er  0.635  0.760  0.270
Tl  0.500  0.336  0.000
Sm  0.691  0.309  0.381

Properties
- space-group type = No. 44



Each structure's energy above the most stable one, in meV/atom: one 0; two 217.



one:
DFT (GGA-PBE) results for Sm3Er6Tl after structural relaxation.

abc: 3.493 12.748 14.211
angles: 100.85 90.00 90.00
Sites, in units of the cell vectors:
Sm  0.750  0.632  0.506
Er  0.750  0.489  0.690
Er  0.750  0.775  0.716
Tl  0.750  0.036  0.722
Er  0.250  0.511  0.310
Er  0.250  0.191  0.922
Er  0.750  0.754  0.311
Sm  0.750  0.075  0.100
Sm  0.250  0.368  0.494
Er  0.250  0.225  0.284
Er  0.250  0.888  0.536
Sm  0.250  0.925  0.900
Er  0.250  0.246  0.689
Er  0.750  0.342  0.118
Er  0.250  0.658  0.882
Sm  0.750  0.422  0.903
Tl  0.250  0.964  0.278
Sm  0.250  0.578  0.097
Er  0.750  0.809  0.078
Er  0.750  0.112  0.464

Properties
- space-group type = No. 11



two:
DFT (GGA-PBE) results for Sm3Er6Tl after structural relaxation.

abc: 3.550 12.867 15.989
angles: 121.30 90.00 90.00
Sites, in units of the cell vectors:
Tl  0.250  0.883  0.307
Er  0.750  0.886  0.718
Er  0.250  0.406  0.289
Sm  0.250  0.378  0.501
Sm  0.750  0.387  0.896
Er  0.250  0.335  0.690
Sm  0.750  0.622  0.499
Er  0.750  0.116  0.477
Sm  0.250  0.613  0.104
Er  0.750  0.665  0.310
Er  0.250  0.884  0.523
Sm  0.250  0.874  0.907
Tl  0.750  0.117  0.693
Er  0.750  0.594  0.711
Er  0.250  0.618  0.900
Er  0.250  0.143  0.896
Er  0.250  0.114  0.282
Sm  0.750  0.126  0.093
Er  0.750  0.857  0.104
Er  0.750  0.382  0.100

Properties
- space-group type = No. 11



Each structure's energy above the most stable one, in meV/atom: one 27; two 0.



one:
DFT (GGA-PBE) results for SmEr2Tl after structural relaxation.

abc: 4.820 4.876 4.876
angles: 90.00 90.00 90.00
Sites, in units of the cell vectors:
Er  0.000  0.000  0.500
Tl  0.500  0.000  0.000
Sm  0.500  0.500  0.500
Er  0.000  0.500  0.000

Properties
- space-group type = No. 123



two:
DFT (GGA-PBE) results for SmEr2Tl after structural relaxation.

abc: 3.593 3.593 11.101
angles: 80.69 80.69 60.00
Sites, in units of the cell vectors:
Er  0.255  0.255  0.234
Sm  0.500  0.500  0.500
Tl  0.667  0.667  0.000
Er  0.078  0.078  0.765

Properties
- space-group type = No. 160



three:
DFT (GGA-PBE) results for SmEr2Tl after structural relaxation.

abc: 3.625 3.625 9.061
angles: 90.00 90.00 90.00
Sites, in units of the cell vectors:
Er  0.000  0.000  0.774
Tl  0.500  0.500  0.000
Er  0.000  0.000  0.226
Sm  0.500  0.500  0.500

Properties
- space-group type = No. 123



four:
DFT (GGA-PBE) results for SmEr2Tl after structural relaxation.

abc: 3.557 3.557 11.189
angles: 80.85 80.85 60.00
Sites, in units of the cell vectors:
Tl  0.000  0.000  0.000
Er  0.746  0.746  0.763
Sm  0.500  0.500  0.500
Er  0.254  0.254  0.237

Properties
- space-group type = No. 166



Each structure's energy above the most stable one, in meV/atom: one 0; two 76; three 6; four 64.



one:
DFT (GGA-PBE) results for SmEr2Tl after structural relaxation.

abc: 4.572 6.621 8.741
angles: 90.00 90.00 110.18
Sites, in units of the cell vectors:
Er  0.635  0.270  0.447
Er  0.635  0.270  0.053
Er  0.365  0.730  0.553
Sm  0.057  0.114  0.750
Er  0.365  0.730  0.947
Tl  0.235  0.470  0.250
Tl  0.765  0.530  0.750
Sm  0.943  0.886  0.250

Properties
- space-group type = No. 63



two:
DFT (GGA-PBE) results for SmEr2Tl after structural relaxation.

abc: 4.805 4.669 11.143
angles: 102.18 90.00 90.00
Sites, in units of the cell vectors:
Er  0.250  0.557  0.113
Er  0.750  0.443  0.887
Er  0.750  0.065  0.129
Er  0.250  0.935  0.871
Sm  0.250  0.306  0.615
Sm  0.750  0.694  0.385
Tl  0.250  0.164  0.326
Tl  0.750  0.836  0.674

Properties
- space-group type = No. 11



three:
DFT (GGA-PBE) results for SmEr2Tl after structural relaxation.

abc: 5.461 5.461 5.461
angles: 60.00 60.00 60.00
Sites, in units of the cell vectors:
Er  0.250  0.250  0.250
Er  0.750  0.750  0.750
Tl  0.500  0.500  0.500
Sm  0.000  0.000  0.000

Properties
- space-group type = No. 225



Each structure's energy above the most stable one, in meV/atom: one 61; two 0; three 162.



one:
DFT (GGA-PBE) results for SmErTl2 after structural relaxation.

abc: 3.768 3.768 9.927
angles: 79.06 79.06 60.00
Sites, in units of the cell vectors:
Tl  0.252  0.252  0.244
Er  0.000  0.000  0.000
Sm  0.500  0.500  0.500
Tl  0.748  0.748  0.756

Properties
- space-group type = No. 166



two:
DFT (GGA-PBE) results for SmErTl2 after structural relaxation.

abc: 5.400 5.400 5.400
angles: 60.00 60.00 60.00
Sites, in units of the cell vectors:
Sm  0.000  0.000  0.000
Tl  0.750  0.750  0.750
Tl  0.250  0.250  0.250
Er  0.500  0.500  0.500

Properties
- space-group type = No. 225



Each structure's energy above the most stable one, in meV/atom: one 91; two 0.



one:
DFT (GGA-PBE) results for Sm5ErTl4 after structural relaxation.

abc: 3.674 3.674 22.014
angles: 90.00 90.00 90.00
Sites, in units of the cell vectors:
Sm  0.500  0.500  0.112
Sm  0.500  0.500  0.694
Er  0.000  0.000  0.000
Tl  0.000  0.000  0.209
Tl  0.000  0.000  0.791
Sm  0.500  0.500  0.888
Tl  0.000  0.000  0.597
Sm  0.500  0.500  0.500
Sm  0.500  0.500  0.306
Tl  0.000  0.000  0.403

Properties
- space-group type = No. 123



two:
DFT (GGA-PBE) results for Sm5ErTl4 after structural relaxation.

abc: 8.631 8.355 9.321
angles: 90.00 90.00 90.00
Sites, in units of the cell vectors:
Er  0.916  0.000  0.000
Sm  0.733  0.738  0.694
Sm  0.671  0.500  0.000
Tl  0.999  0.000  0.334
Sm  0.733  0.738  0.306
Tl  0.435  0.332  0.500
Tl  0.565  0.832  0.000
Tl  0.565  0.168  0.000
Sm  0.267  0.762  0.806
Tl  0.999  0.000  0.666
Tl  0.001  0.500  0.166
Sm  0.267  0.762  0.194
Er  0.084  0.500  0.500
Sm  0.267  0.238  0.806
Sm  0.329  0.000  0.500
Tl  0.001  0.500  0.834
Sm  0.733  0.262  0.694
Sm  0.733  0.262  0.306
Sm  0.267  0.238  0.194
Tl  0.435  0.668  0.500

Properties
- space-group type = No. 59



Each structure's energy above the most stable one, in meV/atom: one 0; two 264.